No. 1
DFT (PBE) results for crystalline Sr2HoCd12Ag3 at its relaxed geometry.

Computed properties:
DFT formation energy (meV/atom): 70

Cell lengths 8.6414, 8.6414, 24.0320 Å; angles 90.00, 90.00, 120.00 degrees
Space group R-3m (No. 166, hexagonal axes)
One atom of each set of equivalent atoms:
Sr1 0.0000 0.0000 0.0892 [6 per cell]
Ho1 0.0000 0.0000 0.5000 [3 per cell]
Cd1 0.0832 0.5416 0.2690 [18 per cell]
Cd2 0.0929 0.5464 0.8764 [18 per cell]
Ag1 0.0000 0.5000 0.0000 [9 per cell]



No. 2
DFT (PBE) results for crystalline Dy3YTc at its relaxed geometry.

Computed properties:
DFT formation energy (meV/atom): -59

Cell lengths 12.087, 3.895, 12.791 Å; angles 90.00, 112.24, 90.00 degrees
Space group Cm (No. 8)
One atom of each set of equivalent atoms:
Dy1 0.000 0.000 0.000 [2 per cell]
Dy2 0.028 0.000 0.374 [2 per cell]
Dy3 0.187 0.500 0.236 [2 per cell]
Dy4 0.303 0.500 0.518 [2 per cell]
Dy5 0.332 0.000 0.763 [2 per cell]
Dy6 0.361 0.000 0.138 [2 per cell]
Y1 0.058 0.500 0.619 [2 per cell]
Y2 0.174 0.500 0.902 [2 per cell]
Tc1 0.361 0.000 0.373 [2 per cell]
Tc2 0.498 0.500 0.764 [2 per cell]



No. 3
DFT (PBE) results for crystalline LiHgPb2 at its relaxed geometry.

Computed properties:
DFT formation energy (meV/atom): -66

Cell lengths 4.715, 4.748, 9.345 Å; angles 90.00, 90.00, 90.00 degrees
Space group Cmmm (No. 65)
One atom of each set of equivalent atoms:
Li1 0.000 0.000 0.000 [2 per cell]
Hg1 0.000 0.000 0.500 [2 per cell]
Pb1 0.000 0.500 0.212 [4 per cell]



No. 4
DFT (PBE) results for crystalline PrYZnAu at its relaxed geometry.

Computed properties:
DFT formation energy (meV/atom): -566

Cell lengths 3.668, 3.668, 7.291 Å; angles 90.00, 90.00, 90.00 degrees
Space group P4mm (No. 99)
One atom of each set of equivalent atoms:
Pr1 0.000 0.000 0.000 [1 per cell]
Y1 0.000 0.000 0.504 [1 per cell]
Zn1 0.500 0.500 0.736 [1 per cell]
Au1 0.500 0.500 0.278 [1 per cell]



No. 5
DFT (PBE) results for crystalline P3HRu at its relaxed geometry.

Computed properties:
Energy (eV per atom): -4.7127

Cell lengths 4.563, 4.563, 4.563 Å; angles 90.00, 90.00, 90.00 degrees
Space group Pm-3m (No. 221)
One atom of each set of equivalent atoms:
P1 0.000 0.000 0.500 [3 per cell]
H1 0.500 0.500 0.500 [1 per cell]
Ru1 0.000 0.000 0.000 [1 per cell]



No. 6
DFT (PBE) results for crystalline ScCd2Si at its relaxed geometry.

Computed properties:
Energy (eV per atom): -3.1894

Cell lengths 3.0963, 3.0963, 30.7817 Å; angles 90.00, 90.00, 120.00 degrees
Space group R-3m (No. 166, hexagonal axes)
One atom of each set of equivalent atoms:
Sc1 0.0000 0.0000 0.0000 [3 per cell]
Cd1 0.0000 0.0000 0.2489 [6 per cell]
Si1 0.0000 0.0000 0.5000 [3 per cell]



No. 7
DFT (PBE) results for crystalline OsSeN at its relaxed geometry.

Computed properties:
Energy (eV per atom): -7.1377

Cell lengths 3.101, 4.128, 3.767 Å; angles 90.00, 90.00, 90.00 degrees
Space group Pmm2 (No. 25)
One atom of each set of equivalent atoms:
Os1 0.000 0.000 0.000 [1 per cell]
Se1 0.500 0.500 0.850 [1 per cell]
N1 0.000 0.000 0.476 [1 per cell]



No. 8
DFT (PBE) results for crystalline Sm6Dy2Er3Pu at its relaxed geometry.

Computed properties:
DFT formation energy (meV/atom): 45

Cell lengths 6.188, 10.721, 11.735 Å; angles 90.00, 100.14, 90.00 degrees
Space group C2/m (No. 12)
One atom of each set of equivalent atoms:
Sm1 0.247 0.000 0.251 [4 per cell]
Sm2 0.248 0.165 0.749 [8 per cell]
Dy1 0.000 0.333 0.500 [4 per cell]
Er1 0.000 0.167 0.000 [4 per cell]
Er2 0.000 0.500 0.000 [2 per cell]
Pu1 0.000 0.000 0.500 [2 per cell]



No. 9
DFT (PBE) results for crystalline Mn2TlPb at its relaxed geometry.

Computed properties:
DFT formation energy (meV/atom): 678

Cell lengths 3.1871, 3.1871, 27.5640 Å; angles 90.00, 90.00, 120.00 degrees
Space group R3m (No. 160, hexagonal axes)
One atom of each set of equivalent atoms:
Mn1 0.0000 0.0000 0.0000 [3 per cell]
Mn2 0.0000 0.0000 0.2759 [3 per cell]
Tl1 0.0000 0.0000 0.7509 [3 per cell]
Pb1 0.0000 0.0000 0.5277 [3 per cell]



No. 10
DFT (PBE) results for crystalline Y2HfZr at its relaxed geometry.

Computed properties:
DFT formation energy (meV/atom): 163

Cell lengths 3.3626, 3.3626, 32.6282 Å; angles 90.00, 90.00, 120.00 degrees
Space group R3m (No. 160, hexagonal axes)
One atom of each set of equivalent atoms:
Y1 0.0000 0.0000 0.0000 [3 per cell]
Y2 0.0000 0.0000 0.1681 [3 per cell]
Hf1 0.0000 0.0000 0.5838 [3 per cell]
Zr1 0.0000 0.0000 0.4176 [3 per cell]



No. 11
DFT (PBE) results for crystalline CaNdBN2 at its relaxed geometry.

Computed properties:
Energy (eV per atom): -6.8794

Cell lengths 3.793, 4.024, 5.864 Å; angles 90.00, 104.83, 90.00 degrees
Space group P2/m (No. 10)
One atom of each set of equivalent atoms:
Ca1 0.000 0.000 0.000 [1 per cell]
Nd1 0.000 0.500 0.500 [1 per cell]
B1 0.500 0.500 0.000 [1 per cell]
N1 0.380 0.500 0.200 [2 per cell]



No. 12
DFT (PBE) results for crystalline Sr2AlC at its relaxed geometry.

Computed properties:
DFT formation energy (meV/atom): 877

Cell lengths 7.393, 7.393, 7.393 Å; angles 90.00, 90.00, 90.00 degrees
Space group Fm-3m (No. 225)
One atom of each set of equivalent atoms:
Sr1 0.250 0.250 0.250 [8 per cell]
Al1 0.000 0.000 0.000 [4 per cell]
C1 0.000 0.000 0.500 [4 per cell]